Computed, not measured: crystalline Li2Cr3Fe2O12 at its relaxed geometry at the GGA+U level of DFT.

abc: 9.095 9.146 12.691
angles: 90.00 90.00 90.00
Positions (direct):
Li 0.728 0.784 0.193
Li 0.228 0.216 0.193
Li 0.228 0.716 0.307
Li 0.728 0.284 0.307
Li 0.272 0.716 0.693
Li 0.772 0.284 0.693
Li 0.772 0.784 0.807
Li 0.272 0.216 0.807
Cr 0.750 0.540 0.000
Cr 0.250 0.460 0.000
Cr 0.399 0.898 0.144
Cr 0.899 0.102 0.144
Cr 0.899 0.602 0.356
Cr 0.399 0.398 0.356
Cr 0.250 0.960 0.500
Cr 0.750 0.040 0.500
Cr 0.601 0.602 0.644
Cr 0.101 0.398 0.644
Cr 0.101 0.898 0.856
Cr 0.601 0.102 0.856
Fe 0.036 0.754 0.119
Fe 0.536 0.246 0.119
Fe 0.036 0.254 0.381
Fe 0.536 0.746 0.381
Fe 0.964 0.746 0.619
Fe 0.464 0.254 0.619
Fe 0.464 0.754 0.881
Fe 0.964 0.246 0.881
O 0.443 0.838 0.022
O 0.943 0.162 0.022
O 0.630 0.438 0.064
O 0.130 0.562 0.064
O 0.836 0.649 0.088
O 0.336 0.351 0.088
O 0.896 0.913 0.160
O 0.396 0.087 0.160
O 0.226 0.829 0.173
O 0.726 0.171 0.173
O 0.026 0.169 0.234
O 0.526 0.831 0.234
O 0.026 0.669 0.266
O 0.526 0.331 0.266
O 0.226 0.329 0.327
O 0.726 0.671 0.327
O 0.396 0.587 0.340
O 0.896 0.413 0.340
O 0.336 0.851 0.412
O 0.836 0.149 0.412
O 0.630 0.938 0.436
O 0.130 0.062 0.436
O 0.443 0.338 0.478
O 0.943 0.662 0.478
O 0.557 0.662 0.522
O 0.057 0.338 0.522
O 0.870 0.938 0.564
O 0.370 0.062 0.564
O 0.164 0.851 0.588
O 0.664 0.149 0.588
O 0.104 0.587 0.660
O 0.604 0.413 0.660
O 0.774 0.671 0.673
O 0.274 0.329 0.673
O 0.474 0.669 0.734
O 0.974 0.331 0.734
O 0.974 0.831 0.766
O 0.474 0.169 0.766
O 0.274 0.829 0.827
O 0.774 0.171 0.827
O 0.604 0.913 0.840
O 0.104 0.087 0.840
O 0.664 0.649 0.912
O 0.164 0.351 0.912
O 0.370 0.562 0.936
O 0.870 0.438 0.936
O 0.057 0.838 0.978
O 0.557 0.162 0.978

Results
Magnetization   0.63 μB per atom
Symmetry   No. 60
Final energy   -124.6 eV per formula unit